Entry 1:
# Na3As (PBE-GGA, relaxed)
# Volume ... 25.6 Å³/atom
# Energy ... -10.3 eV/f.u.
# Relative energy among the computed polymorphs ... 0.0 kJ/mol of atoms
# Energy of formation ... -0.420 eV/atom
data_Na3As
_symmetry_space_group_name_H-M 'P 63 c m'
_symmetry_Int_Tables_number 185
_symmetry_space_group_name_Hall 'P 6c -2'
_cell_length_a 8.8440
_cell_length_b 8.8440
_cell_length_c 9.0625
_cell_angle_alpha 90.00
_cell_angle_beta 90.00
_cell_angle_gamma 120.00
loop_
_atom_site_label
_atom_site_fract_x
_atom_site_fract_y
_atom_site_fract_z
Na1 0.0000 0.0000 0.0000
Na2 0.0000 0.2976 0.2854
Na3 0.0000 0.3641 0.6246
Na4 0.3333 0.6667 0.4301
As1 0.0000 0.3302 0.9549

Entry 2:
# NaAs (PBE-GGA, relaxed)
# Volume ... 20.5 Å³/atom
# Energy ... -6.4 eV/f.u.
# Relative energy among the computed polymorphs ... 15.0 kJ/mol of atoms
# Energy of formation ... -0.237 eV/atom
data_NaAs
_symmetry_space_group_name_H-M 'P 4/m m m'
_symmetry_Int_Tables_number 123
_symmetry_space_group_name_Hall '-P 4 2'
_cell_length_a 3.012
_cell_length_b 3.012
_cell_length_c 4.529
_cell_angle_alpha 90.00
_cell_angle_beta 90.00
_cell_angle_gamma 90.00
loop_
_atom_site_label
_atom_site_fract_x
_atom_site_fract_y
_atom_site_fract_z
Na1 0.000 0.000 0.000
As1 0.500 0.500 0.500

Entry 3:
# NaAs (PBE-GGA, relaxed)
# Volume ... 26.1 Å³/atom
# Energy ... -6.5 eV/f.u.
# Relative energy among the computed polymorphs ... 14.5 kJ/mol of atoms
# Energy of formation ... -0.242 eV/atom
data_NaAs
_symmetry_space_group_name_H-M 'F d d d'
_symmetry_Int_Tables_number 70
_cell_length_a 4.098
_cell_length_b 13.319
_cell_length_c 15.301
_cell_angle_alpha 90.00
_cell_angle_beta 90.00
_cell_angle_gamma 90.00
loop_
_symmetry_equiv_pos_as_xyz
'x,y,z'
'-x,-y,-z'
'-x+1/4,-y+1/4,z'
'x+1/4,y+1/4,-z'
'x,-y+1/4,-z+1/4'
'-x,y+1/4,z+1/4'
'-x+1/4,y,-z+1/4'
'x+1/4,-y,z+1/4'
'x,y+1/2,z+1/2'
'-x,-y+1/2,-z+1/2'
'-x+1/4,-y+3/4,z+1/2'
'x+1/4,y+3/4,-z+1/2'
'x,-y+3/4,-z+3/4'
'-x,y+3/4,z+3/4'
'-x+1/4,y+1/2,-z+3/4'
'x+1/4,-y+1/2,z+3/4'
'x+1/2,y,z+1/2'
'-x+1/2,-y,-z+1/2'
'-x+3/4,-y+1/4,z+1/2'
'x+3/4,y+1/4,-z+1/2'
'x+1/2,-y+1/4,-z+3/4'
'-x+1/2,y+1/4,z+3/4'
'-x+3/4,y,-z+3/4'
'x+3/4,-y,z+3/4'
'x+1/2,y+1/2,z'
'-x+1/2,-y+1/2,-z'
'-x+3/4,-y+3/4,z'
'x+3/4,y+3/4,-z'
'x+1/2,-y+3/4,-z+1/4'
'-x+1/2,y+3/4,z+1/4'
'-x+3/4,y+1/2,-z+1/4'
'x+3/4,-y+1/2,z+1/4'
loop_
_atom_site_label
_atom_site_fract_x
_atom_site_fract_y
_atom_site_fract_z
Na1 0.125 0.125 0.255
As1 0.125 0.038 0.625